# PBE+U Li2V2SnO6, optimized geometry
# Raw total energy ... -6.67 eV/atom
# ρ ... 4.3 g/cm³
data_Li2V2SnO6
_chemical_formula_sum 'Li8 V8 Sn4 O24'
_symmetry_space_group_name_H-M 'C m c e'
_symmetry_Int_Tables_number 64
_symmetry_space_group_name_Hall '-C 2ac 2'
_cell_length_a 9.2245
_cell_length_b 5.3930
_cell_length_c 10.3086
_cell_angle_alpha 90.00
_cell_angle_beta 90.00
_cell_angle_gamma 90.00
loop_
_atom_site_label
_atom_site_fract_x
_atom_site_fract_y
_atom_site_fract_z
_atom_site_occupancy
Li1 0.2500 0.1152 0.2500 1
V1 0.1631 0.0000 0.0000 1
Sn1 0.0000 0.0000 0.5000 1
O1 0.0000 0.1663 0.9027 1
O2 0.1762 0.1596 0.6078 1